1.
NaBIr | PBE | relaxed

Cell lengths 3.0341, 5.6385, 6.2740 Å; angles 115.05, 103.92, 90.19 degrees
Last column: nearest neighbours and their distance in Å.
Space group P-1 (No. 2)
Inequivalent atoms, fractional coordinates:
Na 0.1140 0.2645 0.2345 [2 per cell]  1 B 2.69
B 0.2187 0.9261 0.4379 [2 per cell]  2 B 1.74
Ir 0.3963 0.2809 0.7913 [2 per cell]  3 B 2.05-2.21

Calculated values
Its calculated density is 8.01 g/cm3. Its uncorrected energy is -5.756 eV per atom. For the calculated volume, the calculation gives 93.7 Å³/cell.

=====

2.
TeSe2Cl | PBE | relaxed

Cell lengths 4.0443, 10.3119, 5.6766 Å; angles 90.00, 100.61, 90.00 degrees
Last column: nearest neighbours and their distance in Å.
Space group P2_1/m (No. 11)
Inequivalent atoms, fractional coordinates:
Te 0.0298 0.2500 0.1519 [2 per cell]  2 Cl 2.82-2.87, 4 Se 2.87-2.89
Se 0.4558 0.5520 0.8090 [4 per cell]  1 Se 2.39
Cl 0.0189 0.7500 0.3500 [2 per cell]  2 Te 2.82-2.87

Calculated values
Its calculated density is 4.58 g/cm3. Its uncorrected energy is -3.097 eV per atom. The relative energy among the computed polymorphs comes out at 0.14 eV/f.u. As for the uncorrected formation energy: -108 meV per atom. For the calculated volume, the calculation gives 232.7 Å³/cell.

=====

3.
Tb2NdY4Tm2 | PBE | relaxed

Cell lengths 18.6588, 3.5957, 9.5498 Å; angles 90.00, 115.72, 90.00 degrees
Last column: nearest neighbours and their distance in Å.
Space group C2/m (No. 12)
Inequivalent atoms, fractional coordinates:
Tb 0.1485 0.0000 0.1681 [4 per cell]  3 Tm 3.51-3.52, 7 Y 3.54-3.59, 2 Tb 3.60
Nd 0.0000 0.0000 0.5000 [2 per cell]  6 Y 3.55, 2 Nd 3.60, 4 Tm 3.62
Y 0.0188 0.5000 0.8353 [4 per cell]  5 Y 3.51-3.60, 4 Tb 3.54-3.59, 2 Nd 3.55, 1 Tm 3.57
Y 0.1859 0.0000 0.8339 [4 per cell]  6 Y 3.53-3.60, 2 Tm 3.55, 1 Nd 3.55, 3 Tb 3.55-3.58
Tm 0.1683 0.5000 0.5003 [4 per cell]  3 Tb 3.51-3.52, 4 Tm 3.54-3.60, 3 Y 3.55-3.57, 2 Nd 3.62

Calculated values
Its calculated density is 6.65 g/cm3. Its uncorrected energy is -5.422 eV per atom. For the calculated volume, the calculation gives 577.2 Å³/cell.

=====

4.
Tb3TeSe | PBE | relaxed

Cell lengths 7.0429, 4.0475, 10.9818 Å; angles 90.00, 100.00, 90.00 degrees
Last column: nearest neighbours and their distance in Å.
Space group P2_1/m (No. 11)
Inequivalent atoms, fractional coordinates:
Tb 0.1780 0.2500 0.4343 [2 per cell]  3 Te 3.06-3.22, 1 Se 3.10
Tb 0.2855 0.7500 0.7404 [2 per cell]  1 Se 2.76, 2 Te 3.01
Tb 0.2869 0.7500 0.0630 [2 per cell]  3 Se 2.94-2.99, 1 Te 3.14
Te 0.4527 0.7500 0.3476 [2 per cell]  6 Tb 3.01-3.22
Se 0.0395 0.2500 0.1505 [2 per cell]  4 Tb 2.76-2.99

Calculated values
Its calculated density is 7.36 g/cm3. Its uncorrected energy is -5.121 eV per atom. As for the uncorrected formation energy: -1017 meV per atom. For the calculated volume, the calculation gives 308.3 Å³/cell.

=====

5.
LaCr2Re | PBE | relaxed

Cell lengths 9.0811, 3.1623, 5.6383 Å; angles 90.00, 106.14, 90.00 degrees
Last column: nearest neighbours and their distance in Å.
Space group C2/m (No. 12)
Inequivalent atoms, fractional coordinates:
La 0.0000 0.0000 0.0000 [2 per cell]  2 La 3.16, 4 Re 3.23, 8 Cr 3.27-3.49
Cr 0.2158 0.0000 0.6181 [4 per cell]  2 Cr 2.26, 2 Re 2.46
Re 0.0000 0.5000 0.5000 [2 per cell]  4 Cr 2.46

Calculated values
Its calculated density is 9.16 g/cm3. Its uncorrected energy is -8.650 eV per atom. The relative energy among the computed polymorphs comes out at 0.56 eV/f.u. For the calculated volume, the calculation gives 155.5 Å³/cell.

=====

6.
Te4MoAu | PBE | relaxed

Cell lengths 8.8103, 8.8103, 8.8103 Å; angles 90.00, 90.00, 90.00 degrees
Last column: nearest neighbours and their distance in Å.
Space group F-43m (No. 216)
Inequivalent atoms, fractional coordinates:
Te 0.1246 0.1246 0.1246 [16 per cell]  6 Te 3.10-3.13
Mo 0.0000 0.0000 0.5000 [4 per cell]  12 Te 3.65, 4 Au 3.81
Au 0.2500 0.2500 0.7500 [4 per cell]  12 Te 3.65, 4 Mo 3.81

Calculated values
Its calculated density is 7.80 g/cm3. Its uncorrected energy is -3.391 eV per atom. The relative energy among the computed polymorphs comes out at 5.84 eV/f.u. As for the uncorrected formation energy: 1054 meV per atom. For the calculated volume, the calculation gives 683.9 Å³/cell.

=====

7.
MoAs2SeS | PBE | relaxed

Cell lengths 4.9257, 4.9257, 4.7229 Å; angles 90.00, 90.00, 90.00 degrees
Last column: nearest neighbours and their distance in Å.
Space group P4/mmm (No. 123)
Inequivalent atoms, fractional coordinates:
Mo 0.0000 0.0000 0.0000 [1 per cell]  2 Se 2.36, 4 As 2.46
As 0.0000 0.5000 0.0000 [2 per cell]  2 Mo 2.46
Se 0.0000 0.0000 0.5000 [1 per cell]  2 Mo 2.36
S 0.5000 0.5000 0.5000 [1 per cell]  8 As 3.41, 4 Se 3.48

Calculated values
Its calculated density is 5.17 g/cm3. Its uncorrected energy is -5.023 eV per atom. The relative energy among the computed polymorphs comes out at 0.00 eV/f.u. As for the uncorrected formation energy: 526 meV per atom. For the calculated volume, the calculation gives 114.6 Å³/cell.

=====

8.
BaHg2Pb | PBE | relaxed

Cell lengths 5.3561, 5.3561, 18.1166 Å; angles 90.00, 90.00, 120.00 degrees
Last column: nearest neighbours and their distance in Å.
Space group R3m (No. 160, hexagonal axes)
Inequivalent atoms, fractional coordinates:
Ba 0.0000 0.0000 0.0000 [3 per cell]  6 Hg 3.46-3.47, 4 Pb 3.78-3.83
Hg 0.0000 0.0000 0.4202 [3 per cell]  1 Hg 2.92
Hg 0.0000 0.0000 0.5814 [3 per cell]  1 Hg 2.92, 3 Pb 3.17
Pb 0.0000 0.0000 0.2088 [3 per cell]  3 Hg 3.17

Calculated values
Its calculated density is 8.25 g/cm3. Its uncorrected energy is -1.837 eV per atom. The relative energy among the computed polymorphs comes out at 0.60 eV/f.u. For the calculated volume, the calculation gives 450.1 Å³/cell.

=====

9.
MnWS2N | PBE | relaxed

Cell lengths 4.6259, 4.6259, 3.4017 Å; angles 90.00, 90.00, 90.00 degrees
Last column: nearest neighbours and their distance in Å.
Space group P4/mmm (No. 123)
Inequivalent atoms, fractional coordinates:
Mn 0.0000 0.0000 0.0000 [1 per cell]  2 N 1.70
W 0.5000 0.5000 0.5000 [1 per cell]  8 S 2.87
S 0.0000 0.5000 0.0000 [2 per cell]  2 Mn 2.31
N 0.0000 0.0000 0.5000 [1 per cell]  2 Mn 1.70

Calculated values
Its calculated density is 7.23 g/cm3. Its uncorrected energy is -7.028 eV per atom. The relative energy among the computed polymorphs comes out at 2.72 eV/f.u. As for the uncorrected formation energy: 713 meV per atom. For the calculated volume, the calculation gives 72.8 Å³/cell.

=====

10.
Tb2Nd3In2 | PBE | relaxed

Cell lengths 4.9370, 24.3912, 3.5319 Å; angles 90.00, 90.00, 90.00 degrees
Last column: nearest neighbours and their distance in Å.
Space group Cmmm (No. 65)
Inequivalent atoms, fractional coordinates:
Tb 0.0000 0.2121 0.0000 [4 per cell]  2 Tb 3.08, 1 In 3.44
Nd 0.0000 0.3594 0.5000 [4 per cell]  3 Nd 3.43-3.53, 4 In 3.48, 4 Tb 3.50
Nd 0.0000 0.5000 0.5000 [2 per cell]  4 Nd 3.43-3.53, 8 In 3.50
In 0.0000 0.0711 0.0000 [4 per cell]  1 Tb 3.44, 3 In 3.47-3.53, 8 Nd 3.48-3.50

Calculated values
Its calculated density is 7.65 g/cm3. Its uncorrected energy is -4.315 eV per atom. The relative energy among the computed polymorphs comes out at 0.00 eV/f.u. For the calculated volume, the calculation gives 425.3 Å³/cell.

=====

11.
CaTl2PdPb | PBE | relaxed

Cell lengths 5.2941, 5.2941, 5.4455 Å; angles 90.00, 90.00, 90.00 degrees
Last column: nearest neighbours and their distance in Å.
Space group P4/mmm (No. 123)
Inequivalent atoms, fractional coordinates:
Ca 0.0000 0.0000 0.0000 [1 per cell]  2 Pd 2.72
Tl 0.0000 0.5000 0.5000 [2 per cell]  2 Pd 2.65
Pd 0.0000 0.0000 0.5000 [1 per cell]  4 Tl 2.65, 2 Ca 2.72
Pb 0.5000 0.5000 0.0000 [1 per cell]  4 Ca 3.74, 8 Tl 3.80

Calculated values
Its calculated density is 8.30 g/cm3. Its uncorrected energy is -3.294 eV per atom. For the calculated volume, the calculation gives 152.6 Å³/cell.

=====

12.
ReHRh3 | PBE | relaxed

Cell lengths 3.9054, 3.9054, 3.9054 Å; angles 90.00, 90.00, 90.00 degrees
Last column: nearest neighbours and their distance in Å.
Space group Pm-3m (No. 221)
Inequivalent atoms, fractional coordinates:
Re 0.0000 0.0000 0.0000 [1 per cell]  12 Rh 2.76
H 0.5000 0.5000 0.5000 [1 per cell]  6 Rh 1.95
Rh 0.0000 0.5000 0.5000 [3 per cell]  2 H 1.95

Calculated values
Its calculated density is 13.83 g/cm3. Its uncorrected energy is -7.494 eV per atom. The relative energy among the computed polymorphs comes out at 0.00 eV/f.u. For the calculated volume, the calculation gives 59.6 Å³/cell.

=====

13.
YRuPt2 | PBE | relaxed

Cell lengths 6.6159, 6.6159, 6.6159 Å; angles 90.00, 90.00, 90.00 degrees
Last column: nearest neighbours and their distance in Å.
Space group Fm-3m (No. 225)
Inequivalent atoms, fractional coordinates:
Y 0.0000 0.0000 0.0000 [4 per cell]  8 Pt 2.86
Ru 0.0000 0.0000 0.5000 [4 per cell]  8 Pt 2.86
Pt 0.2500 0.2500 0.2500 [8 per cell]  4 Ru 2.86, 4 Y 2.86

Calculated values
Its calculated density is 13.31 g/cm3. Its uncorrected energy is -7.263 eV per atom. For the calculated volume, the calculation gives 289.6 Å³/cell.